(1)
# VCo3Sn

VCo3Sn after structural relaxation (GGA-PBE, Alexandria via LeMat-Bulk).

The structure belongs to space group Pm-3m (No. 221); the cell edges are 4.595, 4.595 and 4.595 Å and the angles 90.00°, 90.00° and 90.00°. Symmetry generates all atoms from V at (0.000, 0.000, 0.000), Co at (0.000, 0.500, 0.500) and Sn at (0.500, 0.500, 0.500).

The energy of formation from the pure elements comes out at 1.5862 eV per atom. The calculated total energy is -5.30 eV/atom. The calculation puts the magnetization at 1.265 μB/atom.

=====

(2)
# V2CoSn

V2CoSn after structural relaxation (GGA-PBE, Alexandria via LeMat-Bulk).

The structure belongs to space group I-42d (No. 122); the cell edges are 6.942, 6.942 and 5.200 Å and the angles 90.00°, 90.00° and 90.00°. Symmetry generates all atoms from V at (0.196, 0.250, 0.125), Co at (0.000, 0.000, 0.000) and Sn at (0.000, 0.000, 0.500).

The energy of formation from the pure elements comes out at 0.3115 eV per atom. The calculated total energy is -7.02 eV/atom. The calculation puts the magnetization at 0.000 μB/atom.

=====

(3)
# VCo2Sn2

VCo2Sn2 after structural relaxation (GGA-PBE, Alexandria via LeMat-Bulk).

The structure belongs to space group P4/mbm (No. 127); the cell edges are 6.410, 6.410 and 3.792 Å and the angles 90.00°, 90.00° and 90.00°. Symmetry generates all atoms from V at (0.000, 0.000, 0.000), Co at (0.132, 0.368, 0.000) and Sn at (0.174, 0.674, 0.500).

The energy of formation from the pure elements comes out at 0.1553 eV per atom. The calculated total energy is -6.11 eV/atom. The calculation puts the magnetization at 0.164 μB/atom.

=====

(4)
# VCo4Sn

VCo4Sn after structural relaxation (GGA-PBE, Alexandria via LeMat-Bulk).

The structure belongs to space group F-43m (No. 216); the cell edges are 6.713, 6.713 and 6.713 Å and the angles 90.00°, 90.00° and 90.00°. Symmetry generates all atoms from V at (0.000, 0.000, 0.000), Co at (0.125, 0.125, 0.625) and Sn at (0.250, 0.250, 0.250).

The energy of formation from the pure elements comes out at 0.0414 eV per atom. The calculated total energy is -6.88 eV/atom. The calculation puts the magnetization at 0.399 μB/atom.

=====

(5)
# VCo3Sn

VCo3Sn after structural relaxation (GGA-PBE, Alexandria via LeMat-Bulk).

The structure belongs to space group Pm-3m (No. 221); the cell edges are 4.260, 4.260 and 4.260 Å and the angles 90.00°, 90.00° and 90.00°. Symmetry generates all atoms from V at (0.000, 0.000, 0.000), Co at (0.000, 0.000, 0.500) and Sn at (0.500, 0.500, 0.500).

The energy of formation from the pure elements comes out at 0.8801 eV per atom. The calculated total energy is -6.01 eV/atom. The calculation puts the magnetization at 0.077 μB/atom.

=====

(6)
# CoSnW

CoSnW after structural relaxation (GGA-PBE, Alexandria via LeMat-Bulk).

The structure belongs to space group Pmmn (No. 59, origin choice 2); the cell edges are 3.315, 4.197 and 7.045 Å and the angles 90.00°, 90.00° and 90.00°. Symmetry generates all atoms from Co at (0.250, 0.250, 0.227), Sn at (0.250, 0.250, 0.846) and W at (0.250, 0.750, 0.501).

The energy of formation from the pure elements comes out at 0.1588 eV per atom. The calculated total energy is -7.86 eV/atom. The calculation puts the magnetization at 0.000 μB/atom.

=====

(7)
# CoSn2W

CoSn2W after structural relaxation (GGA-PBE, Alexandria via LeMat-Bulk).

The structure belongs to space group Fm-3m (No. 225); the cell edges are 6.516, 6.516 and 6.516 Å and the angles 90.00°, 90.00° and 90.00°. Symmetry generates all atoms from Co at (0.000, 0.000, 0.000), Sn at (0.250, 0.250, 0.250) and W at (0.000, 0.000, 0.500).

The energy of formation from the pure elements comes out at 0.5429 eV per atom. The calculated total energy is -6.47 eV/atom. The calculation puts the magnetization at 0.000 μB/atom.

=====

(8)
# CoSn2W

CoSn2W after structural relaxation (GGA-PBE, Alexandria via LeMat-Bulk).

The structure belongs to space group I-42d (No. 122); the cell edges are 7.224, 7.224 and 5.771 Å and the angles 90.00°, 90.00° and 90.00°. Symmetry generates all atoms from Co at (0.000, 0.000, 0.000), Sn at (0.214, 0.750, 0.125) and W at (0.000, 0.000, 0.500).

The energy of formation from the pure elements comes out at 0.8789 eV per atom. The calculated total energy is -6.14 eV/atom. The calculation puts the magnetization at 0.251 μB/atom.

=====

(9)
# CoSnW

CoSnW after structural relaxation (GGA-PBE, Alexandria via LeMat-Bulk).

The structure belongs to space group Cm (No. 8); the cell edges are 17.315, 4.211 and 2.847 Å and the angles 90.00°, 96.00° and 90.00°. Symmetry generates all atoms from Co at (0.000, 0.000, 0.000), Co at (0.224, 0.500, 0.875), Sn at (0.094, 0.500, 0.268), Sn at (0.263, 0.000, 0.446), W at (0.365, 0.500, 0.189) and W at (0.441, 0.000, 0.563).

The energy of formation from the pure elements comes out at 0.2715 eV per atom. The calculated total energy is -7.75 eV/atom. The calculation puts the magnetization at 0.127 μB/atom.

=====

(10)
# CoSnW3

CoSnW3 after structural relaxation (GGA-PBE, Alexandria via LeMat-Bulk).

The structure belongs to space group Pm-3m (No. 221); the cell edges are 4.506, 4.506 and 4.506 Å and the angles 90.00°, 90.00° and 90.00°. Symmetry generates all atoms from Co at (0.000, 0.000, 0.000), Sn at (0.500, 0.500, 0.500) and W at (0.000, 0.000, 0.500).

The energy of formation from the pure elements comes out at 1.2678 eV per atom. The calculated total energy is -8.73 eV/atom. The calculation puts the magnetization at 0.000 μB/atom.

=====

(11)
# CoSnW

CoSnW after structural relaxation (GGA-PBE, Alexandria via LeMat-Bulk).

The structure belongs to space group C2/m (No. 12); the cell edges are 9.238, 3.211 and 6.746 Å and the angles 90.00°, 94.12° and 90.00°. Symmetry generates all atoms from Co at (0.195, 0.000, 0.167), Sn at (0.084, 0.000, 0.798) and W at (0.140, 0.500, 0.433).

The energy of formation from the pure elements comes out at 0.1975 eV per atom. The calculated total energy is -7.82 eV/atom. The calculation puts the magnetization at 0.000 μB/atom.

=====

(12)
# Co2SnW

Co2SnW after structural relaxation (GGA-PBE, Alexandria via LeMat-Bulk).

The structure belongs to space group I-42d (No. 122); the cell edges are 5.514, 5.514 and 10.873 Å and the angles 90.00°, 90.00° and 90.00°. Symmetry generates all atoms from Co at (0.223, 0.250, 0.125), Sn at (0.000, 0.000, 0.500) and W at (0.000, 0.000, 0.000).

The energy of formation from the pure elements comes out at 1.0645 eV per atom. The calculated total energy is -6.73 eV/atom. The calculation puts the magnetization at 0.000 μB/atom.

=====

(13)
# CoSn2W2

CoSn2W2 after structural relaxation (GGA-PBE, Alexandria via LeMat-Bulk).

The structure belongs to space group I4/mmm (No. 139); the cell edges are 3.828, 3.828 and 13.670 Å and the angles 90.00°, 90.00° and 90.00°. Symmetry generates all atoms from Co at (0.000, 0.000, 0.000), Sn at (0.000, 0.500, 0.250) and W at (0.000, 0.000, 0.413).

The energy of formation from the pure elements comes out at 1.2060 eV per atom. The calculated total energy is -7.00 eV/atom. The calculation puts the magnetization at 0.347 μB/atom.

=====

(14)
# CoSnW

CoSnW after structural relaxation (GGA-PBE, Alexandria via LeMat-Bulk).

The structure belongs to space group P-1 (No. 2); the cell edges are 2.838, 4.422 and 7.870 Å and the angles 82.93°, 83.26° and 89.80°. Symmetry generates all atoms from Co at (0.204, 0.342, 0.132), Sn at (0.342, 0.176, 0.810) and W at (0.316, 0.733, 0.576).

The energy of formation from the pure elements comes out at 0.2862 eV per atom. The calculated total energy is -7.73 eV/atom. The calculation puts the magnetization at 0.099 μB/atom.

=====

(15)
# CoSnW

CoSnW after structural relaxation (GGA-PBE, Alexandria via LeMat-Bulk).

The structure belongs to space group Fmmm (No. 69); the cell edges are 4.948, 8.270 and 9.170 Å and the angles 90.00°, 90.00° and 90.00°. Symmetry generates all atoms from Co at (0.250, 0.250, 0.250), Sn at (0.000, 0.000, 0.156) and W at (0.000, 0.162, 0.500).

The energy of formation from the pure elements comes out at 0.2155 eV per atom. The calculated total energy is -7.81 eV/atom. The calculation puts the magnetization at 0.000 μB/atom.

=====

(16)
# CoSn2W2

CoSn2W2 after structural relaxation (GGA-PBE, Alexandria via LeMat-Bulk).

The structure belongs to space group P4/mbm (No. 127); the cell edges are 6.509, 6.509 and 4.390 Å and the angles 90.00°, 90.00° and 90.00°. Symmetry generates all atoms from Co at (0.000, 0.000, 0.000), Sn at (0.173, 0.327, 0.500) and W at (0.138, 0.638, 0.000).

The energy of formation from the pure elements comes out at 0.6701 eV per atom. The calculated total energy is -7.53 eV/atom. The calculation puts the magnetization at 0.301 μB/atom.

=====

(17)
# CoSnW

CoSnW after structural relaxation (GGA-PBE, Alexandria via LeMat-Bulk).

The structure belongs to space group Cm (No. 8); the cell edges are 9.244, 3.127 and 7.222 Å and the angles 90.00°, 93.96° and 90.00°. Symmetry generates all atoms from Co at (0.000, 0.000, 0.000), Co at (0.181, 0.000, 0.508), Sn at (0.191, 0.500, 0.816), Sn at (0.402, 0.500, 0.469), W at (0.103, 0.500, 0.247) and W at (0.311, 0.000, 0.126).

The energy of formation from the pure elements comes out at 0.2803 eV per atom. The calculated total energy is -7.74 eV/atom. The calculation puts the magnetization at 0.001 μB/atom.

=====

(18)
# CoSnW

CoSnW after structural relaxation (GGA-PBE, Alexandria via LeMat-Bulk).

The structure belongs to space group P2_1/m (No. 11); the cell edges are 2.855, 4.422 and 7.582 Å and the angles 90.00°, 92.32° and 90.00°. Symmetry generates all atoms from Co at (0.033, 0.250, 0.121), Sn at (0.498, 0.250, 0.815) and W at (0.354, 0.750, 0.577).

The energy of formation from the pure elements comes out at 0.2419 eV per atom. The calculated total energy is -7.78 eV/atom. The calculation puts the magnetization at 0.000 μB/atom.

=====

(19)
# CoSnW

CoSnW after structural relaxation (GGA-PBE, Alexandria via LeMat-Bulk).

The structure belongs to space group P-1 (No. 2); the cell edges are 2.859, 5.386 and 7.010 Å and the angles 111.83°, 100.27° and 93.57°. Symmetry generates all atoms from Co at (0.136, 0.137, 0.275), Sn at (0.179, 0.679, 0.358) and W at (0.480, 0.754, 0.000).

The energy of formation from the pure elements comes out at 0.2463 eV per atom. The calculated total energy is -7.77 eV/atom. The calculation puts the magnetization at 0.149 μB/atom.

=====

(20)
# CoSnW2

CoSnW2 after structural relaxation (GGA-PBE, Alexandria via LeMat-Bulk).

The structure belongs to space group I-42d (No. 122); the cell edges are 3.744, 3.744 and 19.584 Å and the angles 90.00°, 90.00° and 90.00°. Symmetry generates all atoms from Co at (0.000, 0.000, 0.000), Sn at (0.000, 0.000, 0.500) and W at (0.245, 0.250, 0.125).

The energy of formation from the pure elements comes out at 0.7981 eV per atom. The calculated total energy is -8.46 eV/atom. The calculation puts the magnetization at 0.000 μB/atom.

=====

(21)
# CoSnW

CoSnW after structural relaxation (GGA-PBE, Alexandria via LeMat-Bulk).

The structure belongs to space group P-1 (No. 2); the cell edges are 2.962, 4.854 and 6.968 Å and the angles 95.69°, 101.38° and 100.81°. Symmetry generates all atoms from Co at (0.048, 0.357, 0.170), Sn at (0.304, 0.191, 0.836) and W at (0.315, 0.743, 0.535).

The energy of formation from the pure elements comes out at 0.2575 eV per atom. The calculated total energy is -7.76 eV/atom. The calculation puts the magnetization at 0.034 μB/atom.

=====

(22)
# YCo2Sn2

YCo2Sn2 after structural relaxation (GGA-PBE, Alexandria via LeMat-Bulk).

The structure belongs to space group P2_1/m (No. 11); the cell edges are 4.493, 4.252 and 10.210 Å and the angles 90.00°, 96.29° and 90.00°. Symmetry generates all atoms from Y at (0.201, 0.250, 0.251), Co at (0.129, 0.750, 0.999), Co at (0.290, 0.250, 0.635), Sn at (0.245, 0.750, 0.497) and Sn at (0.335, 0.250, 0.879).

The energy of formation from the pure elements comes out at -0.2961 eV per atom. The calculated total energy is -6.03 eV/atom. The calculation puts the magnetization at 0.152 μB/atom.

=====

(23)
# Y2CoSn

Y2CoSn after structural relaxation (GGA-PBE, Alexandria via LeMat-Bulk).

The structure belongs to space group P4/mmm (No. 123); the cell edges are 3.432, 3.432 and 7.786 Å and the angles 90.00°, 90.00° and 90.00°. Symmetry generates all atoms from Y at (0.000, 0.000, 0.211), Co at (0.500, 0.500, 0.000) and Sn at (0.500, 0.500, 0.500).

The energy of formation from the pure elements comes out at -0.3927 eV per atom. The calculated total energy is -6.40 eV/atom. The calculation puts the magnetization at 0.123 μB/atom.

=====

(24)
# YCo2Sn

YCo2Sn after structural relaxation (GGA-PBE, Alexandria via LeMat-Bulk).

The structure belongs to space group I-42d (No. 122); the cell edges are 4.418, 4.418 and 17.667 Å and the angles 90.00°, 90.00° and 90.00°. Symmetry generates all atoms from Y at (0.000, 0.000, 0.000), Co at (0.088, 0.250, 0.625) and Sn at (0.000, 0.000, 0.500).

The energy of formation from the pure elements comes out at 0.1767 eV per atom. The calculated total energy is -5.99 eV/atom. The calculation puts the magnetization at 0.656 μB/atom.